Arrangement P

A plane-wave DFT calculation with GGA-PBE was carried out for an optimized crystal structure of CaNdGaSn.

Lattice parameters (Å, degrees): 7.5733 7.5733 7.5733 90.00 90.00 90.00
Last column: nearest neighbours and their distance in Å.
Space group F-43m (No. 216)
Inequivalent atoms, fractional coordinates:
Ca  0.0000  0.0000  0.0000 x4  4 Sn 3.28, 4 Ga 3.28
Nd  0.0000  0.0000  0.5000 x4  4 Sn 3.28, 4 Ga 3.28
Ga  0.2500  0.2500  0.7500 x4  4 Nd 3.28, 4 Ca 3.28
Sn  0.2500  0.2500  0.2500 x4  4 Nd 3.28, 4 Ca 3.28

**Magnetic moment**: 0.00 μB per atom

***

Arrangement Q

A plane-wave DFT calculation with GGA-PBE was carried out for an optimized crystal structure of CaNdGaSn.

Lattice parameters (Å, degrees): 4.2961 4.6499 11.3857 90.00 90.00 90.00
Last column: nearest neighbours and their distance in Å.
Space group Amm2 (No. 38)
Inequivalent atoms, fractional coordinates:
Ca  0.0000  0.0000  0.0000 x2  3 Ga 3.16-3.44, 4 Sn 3.25
Nd  0.5000  0.0000  0.7254 x2  4 Ga 3.22, 3 Sn 3.30-3.34
Ga  0.0000  0.0000  0.2779 x2  2 Sn 2.80
Sn  0.5000  0.0000  0.4354 x2  2 Ga 2.80

**Magnetic moment**: 0.00 μB per atom

***

Quick one: most stable of them? arrangement Q

***

Arrangement P

A plane-wave DFT calculation with GGA-PBE was carried out for an optimized crystal structure of CaNdTlGa.

Lattice parameters (Å, degrees): 7.6045 7.6045 7.6045 90.00 90.00 90.00
Last column: nearest neighbours and their distance in Å.
Space group F-43m (No. 216)
Inequivalent atoms, fractional coordinates:
Ca  0.0000  0.0000  0.0000 x4  4 Tl 3.29, 4 Ga 3.29
Nd  0.0000  0.0000  0.5000 x4  4 Ga 3.29, 4 Tl 3.29
Tl  0.2500  0.2500  0.2500 x4  4 Nd 3.29, 4 Ca 3.29
Ga  0.2500  0.2500  0.7500 x4  4 Ca 3.29, 4 Nd 3.29

**Magnetic moment**: 0.00 μB per atom

***

Arrangement Q

A plane-wave DFT calculation with GGA-PBE was carried out for an optimized crystal structure of CaNdTlGa.

Lattice parameters (Å, degrees): 3.7680 3.7680 7.6904 90.00 90.00 90.00
Last column: nearest neighbours and their distance in Å.
Space group P4mm (No. 99)
Inequivalent atoms, fractional coordinates:
Ca  0.0000  0.0000  0.0000 x1  4 Ga 3.22, 4 Tl 3.32, 1 Nd 3.60
Nd  0.0000  0.0000  0.4678 x1  4 Ga 3.21, 4 Tl 3.40, 1 Ca 3.60
Tl  0.5000  0.5000  0.7417 x1  4 Ca 3.32, 4 Nd 3.40
Ga  0.5000  0.5000  0.2344 x1  4 Nd 3.21, 4 Ca 3.22

**Magnetic moment**: 0.00 μB per atom

***

Quick one: most stable of them? arrangement Q

***

Arrangement P

A plane-wave DFT calculation with GGA-PBE was carried out for an optimized crystal structure of CaGaNi3.

Lattice parameters (Å, degrees): 4.9053 8.3892 8.1495 90.00 90.00 90.00
Last column: nearest neighbours and their distance in Å.
Space group Imma (No. 74)
Inequivalent atoms, fractional coordinates:
Ca  0.0000  0.2500  0.0491 x4  11 Ni 3.04-3.35, 4 Ga 3.25
Ga  0.0000  0.0000  0.5000 x4  6 Ni 2.38-2.54
Ni  0.0000  0.2500  0.6758 x4  4 Ni 2.37, 2 Ga 2.54
Ni  0.2500  0.0190  0.7500 x8  4 Ni 2.37-2.45, 2 Ga 2.38

**Magnetic moment**: 0.00 μB per atom

***

Arrangement Q

A plane-wave DFT calculation with GGA-PBE was carried out for an optimized crystal structure of CaGaNi3.

Lattice parameters (Å, degrees): 4.5373 4.5373 4.5373 90.00 90.00 90.00
Last column: nearest neighbours and their distance in Å.
Space group Pm-3m (No. 221)
Inequivalent atoms, fractional coordinates:
Ca  0.0000  0.0000  0.0000 x1  6 Ni 2.27
Ga  0.5000  0.5000  0.5000 x1  12 Ni 3.21
Ni  0.0000  0.0000  0.5000 x3  2 Ca 2.27

**Magnetic moment**: 0.00 μB per atom

***

Arrangement R

A plane-wave DFT calculation with GGA-PBE was carried out for an optimized crystal structure of CaGaNi3.

Lattice parameters (Å, degrees): 4.4565 4.4565 4.4565 90.00 90.00 90.00
Last column: nearest neighbours and their distance in Å.
Space group Pm-3m (No. 221)
Inequivalent atoms, fractional coordinates:
Ca  0.0000  0.0000  0.0000 x1  12 Ni 3.15
Ga  0.5000  0.5000  0.5000 x1  6 Ni 2.23
Ni  0.0000  0.5000  0.5000 x3  2 Ga 2.23

**Magnetic moment**: 0.00 μB per atom

***

Quick one: most stable of them? arrangement P